Entry from the Alexandria database: a relaxed LaDy3Cu4 crystal (GGA-PBE).

## Properties
Its formation energy from the elements is -0.21 eV/atom. Its total magnetic moment is 0.000 μB/atom. Its crystal system is tetragonal. The space-group type is No. 123. The calculated density is 8.424 g/cm3.

The structure in CIF format:
```
data_LaDy3Cu4
_cell_length_a 4.9812
_cell_length_b 6.9972
_cell_length_c 9.9610
_cell_angle_alpha 90.00
_cell_angle_beta 90.00
_cell_angle_gamma 90.00
_symmetry_space_group_name_H-M 'P 1'
_symmetry_Int_Tables_number 1
loop_
_symmetry_equiv_pos_as_xyz
'x,y,z'
loop_
_atom_site_label
_atom_site_type_symbol
_atom_site_fract_x
_atom_site_fract_y
_atom_site_fract_z
Dy1 Dy 0.0000 0.0000 0.0000
Dy2 Dy 0.0000 0.0000 0.5000
Dy3 Dy 0.4997 0.0000 0.7500
Dy4 Dy 0.5003 0.0000 0.2500
Dy5 Dy 0.4998 0.5000 0.7500
Dy6 Dy 0.5002 0.5000 0.2500
Cu1 Cu 0.5000 0.7645 0.0000
Cu2 Cu 0.5000 0.7645 0.5000
Cu3 Cu 0.5000 0.2355 0.0000
Cu4 Cu 0.5000 0.2355 0.5000
Cu5 Cu 0.9993 0.7650 0.7500
Cu6 Cu 0.0007 0.7650 0.2500
Cu7 Cu 0.0007 0.2350 0.2500
Cu8 Cu 0.9993 0.2350 0.7500
La1 La 0.0000 0.5000 0.0000
La2 La 0.0000 0.5000 0.5000
```